<i>
SbBr, relaxed, DFT GGA-PBE; symmetry = Fd-3m (227); size of the total moment = 0.000 μB/f.u.; DOS at the Fermi energy = 2.656 states/eV per cell
1.0
5.2791 0.0000 0.0000
2.6396 4.5719 0.0000
2.6396 1.5240 4.3104
Br Sb
2 2
Cartesian
0.0000 0.0000 0.0000
2.6396 1.5240 1.0776
5.2791 3.0479 2.1552
7.9187 4.5719 3.2328



<ii>
SbBr, relaxed, DFT GGA-PBE; symmetry = I4/m (87); size of the total moment = 0.000 μB/f.u.; DOS at the Fermi energy = 5.723 states/eV per cell
1.0
-9.7710 -1.1288 -3.0263
3.1031 -0.6054 -9.7933
0.4839 -5.5141 0.4942
Br Sb
8 8
Cartesian
-6.8345 -3.6418 -2.6948
0.3473 -2.9893 -2.4477
-6.0284 -1.1112 -6.4941
0.6506 -3.6065 -9.6305
-6.5313 -4.2590 -9.8777
-3.2286 -1.0994 -9.1046
-0.6394 -0.6231 -6.3255
-3.4393 -0.6348 -3.7150
-3.1977 -3.4475 -4.0879
-7.6966 -0.9387 -2.9368
-6.7736 -1.5575 -10.7448
-1.0176 -3.4341 -6.0732
1.0287 -0.7955 -9.8828
-2.9863 -3.8008 -8.2375
-5.1663 -3.8142 -6.2522
0.1057 -0.1767 -2.0748



Stability ranking, top and bottom: <ii> is the most stable and <i> is the least stable.